A plane-wave DFT calculation with GGA-PBE was carried out for a geometry-optimized Sm2Ni2Ag3 structure.

CIF file:
```
data_Sm2Ni2Ag3
_chemical_formula_sum 'Sm2 Ni2 Ag3'
_cell_length_a 10.031
_cell_length_b 10.031
_cell_length_c 3.681
_cell_angle_alpha 90.00
_cell_angle_beta 90.00
_cell_angle_gamma 157.68
_symmetry_space_group_name_H-M 'P 1'
_symmetry_Int_Tables_number 1
loop_
_symmetry_equiv_pos_as_xyz
'x,y,z'
loop_
_atom_site_label
_atom_site_type_symbol
_atom_site_fract_x
_atom_site_fract_y
_atom_site_fract_z
Sm1 Sm 0.164 0.836 0.000
Sm2 Sm 0.836 0.164 0.000
Ni1 Ni 0.287 0.713 0.500
Ni2 Ni 0.713 0.287 0.500
Ag1 Ag 0.000 0.000 0.000
Ag2 Ag 0.429 0.571 0.500
Ag3 Ag 0.571 0.429 0.500
```

Values from the calculation:
Energy of formation from the pure elements (meV per atom): -270
M_tot (μB/cell): 0.00
Symmetry: Cmmm (65)
Energy (eV/atom): -4.4920
DOS(E_F) (states/eV per atom): 0.414
Calculated volume (Å³/atom): 20.1